(1)
# K2Cd2F7 | Alexandria via LeMat-Bulk | PBE | optimized geometry
# SG ... Cmmm, No. 65
data_K2Cd2F7
_chemical_formula_sum 'K2 Cd2 F7'
_cell_length_a 5.5477
_cell_length_b 5.5477
_cell_length_c 6.1399
_cell_angle_alpha 90.00
_cell_angle_beta 90.00
_cell_angle_gamma 97.04
_space_group_name_H-M_alt 'P 1'
_space_group_IT_number 1
_space_group_name_Hall 'P 1'
loop_
_atom_site_label
_atom_site_fract_x
_atom_site_fract_y
_atom_site_fract_z
_atom_site_occupancy
K1 0.2385 0.2385 0.0000 1
K2 0.7615 0.7615 0.0000 1
Cd1 0.2730 0.7270 0.5000 1
Cd2 0.7270 0.2730 0.5000 1
F1 0.0000 0.0000 0.5000 1
F2 0.0000 0.5000 0.2728 1
F3 0.0000 0.5000 0.7272 1
F4 0.5000 0.0000 0.2728 1
F5 0.5000 0.0000 0.7272 1
F6 0.5000 0.5000 0.2817 1
F7 0.5000 0.5000 0.7183 1

(2)
# K4Cd2F | Alexandria via LeMat-Bulk | PBE | optimized geometry
# SG ... I4/mmm, No. 139
data_K4Cd2F
_chemical_formula_sum 'K4 Cd2 F1'
_cell_length_a 10.2071
_cell_length_b 10.2071
_cell_length_c 10.2071
_cell_angle_alpha 149.59
_cell_angle_beta 149.59
_cell_angle_gamma 43.55
_space_group_name_H-M_alt 'P 1'
_space_group_IT_number 1
_space_group_name_Hall 'P 1'
loop_
_atom_site_label
_atom_site_fract_x
_atom_site_fract_y
_atom_site_fract_z
_atom_site_occupancy
K1 0.0000 0.5000 0.5000 1
K2 0.1667 0.1667 0.0000 1
K3 0.5000 0.0000 0.5000 1
K4 0.8333 0.8333 0.0000 1
Cd1 0.3580 0.3580 0.0000 1
Cd2 0.6420 0.6420 0.0000 1
F1 0.0000 0.0000 0.0000 1

no.,formation energy (no corrections) (meV per atom),total magnetic moment (μB per atom)
1,-2180,0.103
2,-709,0.000